Density functional theory data (PBE) for Ta2FeAsP after structural relaxation.

Volume ... 17.6 Å³ per atom
DFT total energy ... -8.0819 eV per atom
ΔH_f (0 K) ... 364 meV per atom
Total magnetic moment ... 0.00 μB/atom

```
data_Ta2FeAsP
_cell_length_a 4.7359
_cell_length_b 3.9153
_cell_length_c 4.7359
_cell_angle_alpha 90.00
_cell_angle_beta 90.00
_cell_angle_gamma 90.00
_symmetry_space_group_name_H-M 'P 1'
_symmetry_Int_Tables_number 1
loop_
_symmetry_equiv_pos_as_xyz
'x,y,z'
loop_
_atom_site_label
_atom_site_fract_x
_atom_site_fract_y
_atom_site_fract_z
_atom_site_occupancy
P1 0.0000 0.5000 0.0000 1
As1 0.5000 0.5000 0.5000 1
Fe1 0.0000 0.0000 0.0000 1
Ta1 0.0000 0.0000 0.5000 1
Ta2 0.5000 0.0000 0.0000 1
```